Here is crystalline LiZnCo4O8 at its relaxed geometry from Alexandria. Energies are from PBE+U.

Output
calculated total energy = -75.8 eV per cell
energy above the most stable polymorph in this dataset = 91.4 meV/atom
magnetic moment = 0.64 μB per atom

a b c (Å): 6.8514 6.8514 8.6987
angles (deg): 59.99 59.99 24.54
Atoms (fractional coordinates):
1 Co 0.1376 0.1376 0.1584
2 Co 0.3807 0.3807 0.4454
3 Co 0.7192 0.7192 0.4143
4 Co 0.8416 0.8416 0.8327
5 O 0.4622 0.4622 0.7871
6 O 0.8736 0.8736 0.3063
7 O 0.1643 0.1643 0.9207
8 O 0.5363 0.5363 0.2428
9 O 0.1474 0.1474 0.3612
10 O 0.8875 0.8875 0.5859
11 O 0.2041 0.2041 0.5906
12 O 0.7478 0.7478 0.0751
13 Li 0.0291 0.0291 0.5988
14 Zn 0.6064 0.6064 0.8248